one | A plane-wave DFT calculation with PBE was carried out for crystalline Th3MnBi at its relaxed geometry.

Computed properties:
**Volume**: 286 Å³/cell

a b c (Å): 8.5953 8.5953 5.0216
angles (deg): 90.00 90.00 129.65
Element x y z (fractional)
Th 0.0000 0.5000 0.5000
Th 0.1241 0.8759 0.0000
Th 0.2709 0.2709 0.5000
Th 0.5000 0.0000 0.5000
Th 0.7291 0.7291 0.5000
Th 0.8759 0.1241 0.0000
Mn 0.1371 0.8629 0.5000
Mn 0.8629 0.1371 0.5000
Bi 0.3673 0.6327 0.0000
Bi 0.6327 0.3673 0.0000

two | A plane-wave DFT calculation with PBE was carried out for crystalline Th3MnBi at its relaxed geometry.

Computed properties:
**Volume**: 144 Å³/cell

a b c (Å): 5.2435 5.2435 5.2435
angles (deg): 90.00 90.00 90.00
Element x y z (fractional)
Th 0.0000 0.0000 0.5000
Th 0.0000 0.5000 0.0000
Th 0.5000 0.0000 0.0000
Mn 0.0000 0.0000 0.0000
Bi 0.5000 0.5000 0.5000

Which of them is the most stable? Correct choice: one.

one | A plane-wave DFT calculation with PBE was carried out for crystalline Ti6MnBi3 at its relaxed geometry.

Computed properties:
**Volume**: 394 Å³/cell

a b c (Å): 8.7481 4.6223 10.5454
angles (deg): 90.00 112.32 90.00
Element x y z (fractional)
Ti 0.0269 0.2500 0.4271
Ti 0.2161 0.7500 0.1493
Ti 0.2730 0.2500 0.0077
Ti 0.3570 0.2500 0.2945
Ti 0.3874 0.7500 0.8922
Ti 0.4557 0.2500 0.6151
Ti 0.5443 0.7500 0.3849
Ti 0.6126 0.2500 0.1078
Ti 0.6430 0.7500 0.7055
Ti 0.7270 0.7500 0.9923
Ti 0.7839 0.2500 0.8507
Ti 0.9731 0.7500 0.5729
Mn 0.4666 0.7500 0.1378
Mn 0.5334 0.2500 0.8622
Bi 0.0020 0.7500 0.8613
Bi 0.1947 0.2500 0.7138
Bi 0.2659 0.7500 0.4620
Bi 0.7341 0.2500 0.5380
Bi 0.8053 0.7500 0.2862
Bi 0.9980 0.2500 0.1387

two | A plane-wave DFT calculation with PBE was carried out for crystalline Ti6MnBi3 at its relaxed geometry.

Computed properties:
**Volume**: 218 Å³/cell

a b c (Å): 6.2176 6.2176 7.3446
angles (deg): 112.51 112.51 58.58
Element x y z (fractional)
Ti 0.1403 0.6605 0.6099
Ti 0.2902 0.2902 0.2181
Ti 0.3395 0.8597 0.3901
Ti 0.6605 0.1403 0.6099
Ti 0.7098 0.7098 0.7819
Ti 0.8597 0.3395 0.3901
Mn 0.5000 0.5000 0.5000
Bi 0.0000 0.0000 0.0000
Bi 0.2246 0.2246 0.7776
Bi 0.7754 0.7754 0.2224

Which of them is the most stable? Correct choice: one.

one | A plane-wave DFT calculation with PBE was carried out for crystalline TiMnBi3 at its relaxed geometry.

Computed properties:
**Volume**: 143 Å³/cell

a b c (Å): 5.2317 5.2317 5.2317
angles (deg): 90.00 90.00 90.00
Element x y z (fractional)
Ti 0.0000 0.0000 0.0000
Mn 0.5000 0.5000 0.5000
Bi 0.0000 0.5000 0.5000
Bi 0.5000 0.0000 0.5000
Bi 0.5000 0.5000 0.0000

two | A plane-wave DFT calculation with PBE was carried out for crystalline TiMnBi3 at its relaxed geometry.

Computed properties:
**Volume**: 154 Å³/cell

a b c (Å): 5.3579 5.3579 5.3579
angles (deg): 90.00 90.00 90.00
Element x y z (fractional)
Ti 0.0000 0.0000 0.0000
Mn 0.5000 0.5000 0.5000
Bi 0.0000 0.0000 0.5000
Bi 0.0000 0.5000 0.0000
Bi 0.5000 0.0000 0.0000

Which of them is the most stable? Correct choice: one.

one | A plane-wave DFT calculation with PBE was carried out for crystalline MnBi3W at its relaxed geometry.

Computed properties:
**Volume**: 156 Å³/cell

a b c (Å): 5.3785 5.3785 5.3785
angles (deg): 90.00 90.00 90.00
Element x y z (fractional)
Mn 0.0000 0.0000 0.0000
Bi 0.0000 0.5000 0.5000
Bi 0.5000 0.0000 0.5000
Bi 0.5000 0.5000 0.0000
W 0.5000 0.5000 0.5000

two | A plane-wave DFT calculation with PBE was carried out for crystalline MnBi3W at its relaxed geometry.

Computed properties:
**Volume**: 139 Å³/cell

a b c (Å): 5.1770 5.1770 5.1770
angles (deg): 90.00 90.00 90.00
Element x y z (fractional)
Mn 0.0000 0.0000 0.0000
Bi 0.0000 0.0000 0.5000
Bi 0.0000 0.5000 0.0000
Bi 0.5000 0.0000 0.0000
W 0.5000 0.5000 0.5000

Which of them is the most stable? Correct choice: two.

one | A plane-wave DFT calculation with PBE was carried out for crystalline Mn2Bi2W at its relaxed geometry.

Computed properties:
**Volume**: 184 Å³/cell

a b c (Å): 6.5607 6.5607 4.2734
angles (deg): 90.00 90.00 90.00
Element x y z (fractional)
Mn 0.1205 0.3795 0.0000
Mn 0.3795 0.8795 0.0000
Mn 0.6205 0.1205 0.0000
Mn 0.8795 0.6205 0.0000
Bi 0.1844 0.6844 0.5000
Bi 0.3156 0.1844 0.5000
Bi 0.6844 0.8156 0.5000
Bi 0.8156 0.3156 0.5000
W 0.0000 0.0000 0.0000
W 0.5000 0.5000 0.0000

two | A plane-wave DFT calculation with PBE was carried out for crystalline Mn2Bi2W at its relaxed geometry.

Computed properties:
**Volume**: 107 Å³/cell

a b c (Å): 5.2882 5.2882 5.2882
angles (deg): 118.54 118.54 92.54
Element x y z (fractional)
Mn 0.1625 0.1625 0.0000
Mn 0.8375 0.8375 0.0000
Bi 0.2500 0.7500 0.5000
Bi 0.7500 0.2500 0.5000
W 0.5000 0.5000 0.0000

Which of them is the most stable? Correct choice: one.

one | A plane-wave DFT calculation with PBE was carried out for crystalline YMn3Bi at its relaxed geometry.

Computed properties:
**Volume**: 126 Å³/cell

a b c (Å): 5.0163 5.0163 5.0163
angles (deg): 90.00 90.00 90.00
Element x y z (fractional)
Y 0.0000 0.0000 0.0000
Mn 0.0000 0.0000 0.5000
Mn 0.0000 0.5000 0.0000
Mn 0.5000 0.0000 0.0000
Bi 0.5000 0.5000 0.5000

two | A plane-wave DFT calculation with PBE was carried out for crystalline YMn3Bi at its relaxed geometry.

Computed properties:
**Volume**: 128 Å³/cell

a b c (Å): 5.0386 5.0386 5.0386
angles (deg): 90.00 90.00 90.00
Element x y z (fractional)
Y 0.0000 0.0000 0.0000
Mn 0.0000 0.5000 0.5000
Mn 0.5000 0.0000 0.5000
Mn 0.5000 0.5000 0.0000
Bi 0.5000 0.5000 0.5000

Which of them is the most stable? Correct choice: two.